Record 1
The following is a PBEsol calculation of crystalline Li2Mn2CrO6 at its relaxed geometry, from Alexandria via LeMat-Bulk.

## Properties
- offset from the most stable computed form (meV/atom) = 15
- magnetic moment (μB/atom) = 0.91
- DOS(E_F) (states/eV/cell) = 3.52
- space group = C222_1, No. 20
- energy relative to the elements, uncorrected (meV/atom) = -1808.8

Unit cell a=4.992 b=4.992 c=10.011 alpha=90.00 beta=90.00 gamma=118.01
Sites, in units of the cell vectors:
Li: 0.122 0.122 0.000
Li: 0.368 0.368 0.500
Li: 0.632 0.632 0.000
Li: 0.878 0.878 0.500
Mn: 0.082 0.918 0.250
Mn: 0.409 0.591 0.250
Mn: 0.591 0.409 0.750
Mn: 0.918 0.082 0.750
Cr: 0.251 0.749 0.750
Cr: 0.749 0.251 0.250
O: 0.053 0.207 0.362
O: 0.079 0.587 0.154
O: 0.207 0.053 0.638
O: 0.257 0.408 0.850
O: 0.408 0.257 0.150
O: 0.413 0.921 0.346
O: 0.587 0.079 0.846
O: 0.592 0.743 0.650
O: 0.743 0.592 0.350
O: 0.793 0.947 0.138
O: 0.921 0.413 0.654
O: 0.947 0.793 0.862



Record 2
The following is a PBEsol calculation of crystalline Li2Mn3CrO8 at its relaxed geometry, from Alexandria via LeMat-Bulk.

## Properties
- magnetic moment (μB/atom) = 0.79
- DOS(E_F) (states/eV/cell) = 3.05
- space group = R-3m, No. 166
- energy relative to the elements, uncorrected (meV/atom) = -1901.1

Unit cell a=5.782 b=5.782 c=5.782 alpha=58.91 beta=58.91 gamma=58.91
Sites, in units of the cell vectors:
Li: 0.124 0.124 0.124
Li: 0.876 0.876 0.876
Mn: 0.000 0.500 0.500
Mn: 0.500 0.000 0.500
Mn: 0.500 0.500 0.000
Cr: 0.500 0.500 0.500
O: 0.259 0.259 0.711
O: 0.259 0.711 0.259
O: 0.263 0.263 0.263
O: 0.289 0.741 0.741
O: 0.711 0.259 0.259
O: 0.737 0.737 0.737
O: 0.741 0.289 0.741
O: 0.741 0.741 0.289



Record 3
The following is a PBEsol calculation of crystalline Li5MnCr3O8 at its relaxed geometry, from Alexandria via LeMat-Bulk.

## Properties
- offset from the most stable computed form (meV/atom) = 51
- magnetic moment (μB/atom) = 0.59
- DOS(E_F) (states/eV/cell) = 4.13
- space group = R-3m, No. 166
- energy relative to the elements, uncorrected (meV/atom) = -1792.3

Unit cell a=5.817 b=5.817 c=5.817 alpha=60.39 beta=60.39 gamma=60.39
Sites, in units of the cell vectors:
Li: 0.000 0.000 0.500
Li: 0.000 0.500 0.000
Li: 0.069 0.069 0.069
Li: 0.500 0.000 0.000
Li: 0.931 0.931 0.931
Mn: 0.500 0.500 0.500
Cr: 0.000 0.500 0.500
Cr: 0.500 0.000 0.500
Cr: 0.500 0.500 0.000
O: 0.256 0.256 0.256
O: 0.260 0.260 0.728
O: 0.260 0.728 0.260
O: 0.272 0.740 0.740
O: 0.728 0.260 0.260
O: 0.740 0.272 0.740
O: 0.740 0.740 0.272
O: 0.744 0.744 0.744



Record 4
The following is a PBEsol calculation of crystalline Li3Mn5Cr3O16 at its relaxed geometry, from Alexandria via LeMat-Bulk.

## Properties
- magnetic moment (μB/atom) = 0.85
- DOS(E_F) (states/eV/cell) = 12.87
- space group = Cm, No. 8
- energy relative to the elements, uncorrected (meV/atom) = -1865.3

Unit cell a=5.767 b=5.767 c=9.945 alpha=106.72 beta=106.72 gamma=59.30
Sites, in units of the cell vectors:
Li: 0.000 0.000 0.000
Li: 0.372 0.372 0.130
Li: 0.502 0.502 0.506
Mn: 0.188 0.188 0.569
Mn: 0.437 0.938 0.813
Mn: 0.439 0.936 0.318
Mn: 0.936 0.439 0.318
Mn: 0.938 0.437 0.813
Cr: 0.437 0.437 0.814
Cr: 0.685 0.685 0.065
Cr: 0.936 0.936 0.319
O: 0.030 0.574 0.201
O: 0.070 0.070 0.212
O: 0.080 0.523 0.697
O: 0.085 0.085 0.697
O: 0.292 0.292 0.435
O: 0.297 0.847 0.437
O: 0.303 0.303 0.921
O: 0.342 0.799 0.931
O: 0.523 0.080 0.697
O: 0.572 0.572 0.710
O: 0.574 0.030 0.201
O: 0.580 0.580 0.201
O: 0.792 0.792 0.932
O: 0.799 0.342 0.931
O: 0.800 0.800 0.420
O: 0.847 0.297 0.437



Record 5
The following is a PBEsol calculation of crystalline Li2MnCr2O6 at its relaxed geometry, from Alexandria via LeMat-Bulk.

## Properties
- magnetic moment (μB/atom) = 0.78
- DOS(E_F) (states/eV/cell) = 15.04
- space group = C2/m, No. 12
- energy relative to the elements, uncorrected (meV/atom) = -1936.5

Unit cell a=7.652 b=7.652 c=5.832 alpha=101.50 beta=101.50 gamma=68.37
Sites, in units of the cell vectors:
Li: 0.167 0.503 0.672
Li: 0.167 0.833 0.000
Li: 0.497 0.833 0.328
Li: 0.503 0.167 0.672
Li: 0.833 0.167 0.000
Li: 0.833 0.497 0.328
Mn: 0.165 0.835 0.500
Mn: 0.500 0.500 0.500
Mn: 0.835 0.165 0.500
Cr: 0.166 0.166 0.832
Cr: 0.169 0.497 0.168
Cr: 0.497 0.169 0.168
Cr: 0.503 0.831 0.832
Cr: 0.831 0.503 0.832
Cr: 0.834 0.834 0.168
O: 0.001 0.344 0.060
O: 0.008 0.008 0.731
O: 0.015 0.673 0.400
O: 0.323 0.323 0.930
O: 0.325 0.665 0.276
O: 0.327 0.985 0.600
O: 0.335 0.675 0.724
O: 0.344 0.001 0.060
O: 0.347 0.347 0.411
O: 0.653 0.653 0.589
O: 0.656 0.999 0.940
O: 0.665 0.325 0.276
O: 0.673 0.015 0.400
O: 0.675 0.335 0.724
O: 0.677 0.677 0.070
O: 0.985 0.327 0.600
O: 0.992 0.992 0.269
O: 0.999 0.656 0.940



Record 6
The following is a PBEsol calculation of crystalline Li5MnCr3O8 at its relaxed geometry, from Alexandria via LeMat-Bulk.

## Properties
- offset from the most stable computed form (meV/atom) = 1
- magnetic moment (μB/atom) = 0.82
- DOS(E_F) (states/eV/cell) = 0.77
- space group = P4_32_12, No. 96
- energy relative to the elements, uncorrected (meV/atom) = -1841.9

Unit cell a=8.645 b=8.645 c=7.961 alpha=90.00 beta=90.00 gamma=90.00
Sites, in units of the cell vectors:
Li: 0.042 0.202 0.476
Li: 0.103 0.353 0.242
Li: 0.147 0.603 0.992
Li: 0.151 0.849 0.750
Li: 0.202 0.042 0.524
Li: 0.298 0.542 0.226
Li: 0.349 0.349 0.000
Li: 0.353 0.103 0.758
Li: 0.397 0.853 0.508
Li: 0.458 0.702 0.274
Li: 0.542 0.298 0.774
Li: 0.603 0.147 0.008
Li: 0.647 0.897 0.258
Li: 0.651 0.651 0.500
Li: 0.702 0.458 0.726
Li: 0.798 0.958 0.024
Li: 0.849 0.151 0.250
Li: 0.853 0.397 0.492
Li: 0.897 0.647 0.742
Li: 0.958 0.798 0.976
Mn: 0.118 0.118 0.000
Mn: 0.382 0.618 0.750
Mn: 0.618 0.382 0.250
Mn: 0.882 0.882 0.500
Cr: 0.121 0.374 0.745
Cr: 0.126 0.621 0.495
Cr: 0.128 0.872 0.250
Cr: 0.372 0.372 0.500
Cr: 0.374 0.121 0.255
Cr: 0.379 0.874 0.005
Cr: 0.621 0.126 0.505
Cr: 0.626 0.879 0.755
Cr: 0.628 0.628 0.000
Cr: 0.872 0.128 0.750
Cr: 0.874 0.379 0.995
Cr: 0.879 0.626 0.245
O: 0.105 0.140 0.722
O: 0.108 0.638 0.246
O: 0.109 0.372 0.994
O: 0.127 0.848 0.498
O: 0.128 0.609 0.744
O: 0.138 0.392 0.496
O: 0.140 0.105 0.278
O: 0.152 0.873 0.002
O: 0.348 0.373 0.748
O: 0.360 0.605 0.472
O: 0.362 0.892 0.254
O: 0.372 0.109 0.006
O: 0.373 0.348 0.252
O: 0.391 0.872 0.756
O: 0.392 0.138 0.504
O: 0.395 0.640 0.028
O: 0.605 0.360 0.528
O: 0.608 0.862 0.004
O: 0.609 0.128 0.256
O: 0.627 0.652 0.752
O: 0.628 0.891 0.506
O: 0.638 0.108 0.754
O: 0.640 0.395 0.972
O: 0.652 0.627 0.248
O: 0.848 0.127 0.502
O: 0.860 0.895 0.778
O: 0.862 0.608 0.996
O: 0.872 0.391 0.244
O: 0.873 0.152 0.998
O: 0.891 0.628 0.494
O: 0.892 0.362 0.746
O: 0.895 0.860 0.222



Question: Which formula does entry 4 have?
Answer: Li3Mn5Cr3O16



Question: What is the formula in the sixth record?
Answer: Li5MnCr3O8